1.
# PBE YVAs2Se, optimized geometry
# Formation energy from raw total energies   0.798 eV per atom
# E above lowest polymorph   6.04 eV per formula unit
data_YVAs2Se
_chemical_formula_sum 'Y1 V1 As2 Se1'
_cell_length_a 5.3557
_cell_length_b 5.3557
_cell_length_c 5.3232
_cell_angle_alpha 90.00
_cell_angle_beta 90.00
_cell_angle_gamma 90.00
_symmetry_space_group_name_H-M 'P 4/m m m'
_symmetry_Int_Tables_number 123
_symmetry_space_group_name_Hall '-P 4 2'
loop_
_atom_site_label
_atom_site_fract_x
_atom_site_fract_y
_atom_site_fract_z
_atom_site_occupancy
Y1 0.0000 0.0000 0.0000 1
V1 0.5000 0.5000 0.5000 1
As1 0.0000 0.5000 0.0000 1
Se1 0.0000 0.0000 0.5000 1

2.
# PBE BeV2BiP, optimized geometry
# ΔE_f   7.8 eV per formula unit
data_BeV2BiP
_chemical_formula_sum 'Be1 V2 Bi1 P1'
_cell_length_a 5.2344
_cell_length_b 5.2344
_cell_length_c 4.4112
_cell_angle_alpha 90.00
_cell_angle_beta 90.00
_cell_angle_gamma 90.00
_symmetry_space_group_name_H-M 'P 4/m m m'
_symmetry_Int_Tables_number 123
_symmetry_space_group_name_Hall '-P 4 2'
loop_
_atom_site_label
_atom_site_fract_x
_atom_site_fract_y
_atom_site_fract_z
_atom_site_occupancy
Be1 0.0000 0.0000 0.0000 1
V1 0.0000 0.5000 0.5000 1
Bi1 0.0000 0.0000 0.5000 1
P1 0.5000 0.5000 0.0000 1

3.
# PBE NaTl2Cu2, optimized geometry
# ΔE_f   1.1 eV per formula unit
# E above lowest polymorph   0.46 eV per formula unit
data_NaTl2Cu2
_chemical_formula_sum 'Na2 Tl4 Cu4'
_cell_length_a 8.1044
_cell_length_b 8.1044
_cell_length_c 3.2509
_cell_angle_alpha 90.00
_cell_angle_beta 90.00
_cell_angle_gamma 90.00
_symmetry_space_group_name_H-M 'P 4/m b m'
_symmetry_Int_Tables_number 127
_symmetry_space_group_name_Hall '-P 4 2ab'
loop_
_atom_site_label
_atom_site_fract_x
_atom_site_fract_y
_atom_site_fract_z
_atom_site_occupancy
Na1 0.0000 0.0000 0.0000 1
Tl1 0.1456 0.3544 0.0000 1
Cu1 0.1520 0.6520 0.5000 1

4.
# PBE TiBeHg3, optimized geometry
# ΔE_f   5.3 eV per formula unit
# E above lowest polymorph   2.74 eV per formula unit
data_TiBeHg3
_chemical_formula_sum 'Ti1 Be1 Hg3'
_cell_length_a 5.4514
_cell_length_b 5.4514
_cell_length_c 5.4514
_cell_angle_alpha 90.00
_cell_angle_beta 90.00
_cell_angle_gamma 90.00
_symmetry_space_group_name_H-M 'P m -3 m'
_symmetry_Int_Tables_number 221
_symmetry_space_group_name_Hall '-P 4 2 3'
loop_
_atom_site_label
_atom_site_fract_x
_atom_site_fract_y
_atom_site_fract_z
_atom_site_occupancy
Ti1 0.0000 0.0000 0.0000 1
Be1 0.5000 0.5000 0.5000 1
Hg1 0.0000 0.0000 0.5000 1

5.
# PBE Pm3Sc3Tl2, optimized geometry
# ΔE_f   -1.0 eV per formula unit
data_Pm3Sc3Tl2
_chemical_formula_sum 'Pm12 Sc12 Tl8'
_cell_length_a 4.8713
_cell_length_b 11.6929
_cell_length_c 16.2901
_cell_angle_alpha 90.00
_cell_angle_beta 90.00
_cell_angle_gamma 90.00
_symmetry_space_group_name_H-M 'C m c m'
_symmetry_Int_Tables_number 63
_symmetry_space_group_name_Hall '-C 2c 2'
loop_
_atom_site_label
_atom_site_fract_x
_atom_site_fract_y
_atom_site_fract_z
_atom_site_occupancy
Pm1 0.0000 0.0597 0.1041 1
Pm2 0.0000 0.3193 0.2500 1
Sc1 0.0000 0.3708 0.0407 1
Sc2 0.0000 0.3952 0.7500 1
Tl1 0.0000 0.2277 0.6139 1

6.
# PBE MgAl2GaRh, optimized geometry
# ΔE_f   4.2 eV per formula unit
data_MgAl2GaRh
_chemical_formula_sum 'Mg1 Al2 Ga1 Rh1'
_cell_length_a 4.9564
_cell_length_b 4.9564
_cell_length_c 4.5863
_cell_angle_alpha 90.00
_cell_angle_beta 90.00
_cell_angle_gamma 90.00
_symmetry_space_group_name_H-M 'P 4/m m m'
_symmetry_Int_Tables_number 123
_symmetry_space_group_name_Hall '-P 4 2'
loop_
_atom_site_label
_atom_site_fract_x
_atom_site_fract_y
_atom_site_fract_z
_atom_site_occupancy
Mg1 0.0000 0.0000 0.0000 1
Al1 0.0000 0.5000 0.0000 1
Ga1 0.5000 0.5000 0.5000 1
Rh1 0.0000 0.0000 0.5000 1

Record-wise Fermi-level density of states values, in states/eV/atom: 2.242; 1.295; 0.307; 1.356; 1.470; 0.526
Record-wise calculated volume values, in Å³ per atom: 30.54; 24.17; 21.35; 32.40; 29.00; 22.53
Record-wise size of the total moment values, in μB per formula unit: 0.04; 5.99; 0.00; 2.98; 0.00; 0.00